(1)
The following is a PBE calculation of a relaxed KSb2Se crystal, from the Alexandria database.

The energy comes out at -3.203 eV/atom. The value obtained for the density of states at the Fermi level is 0.868 states/eV/atom. The energy above the most stable polymorph in this dataset comes out at 0.361 eV/atom. The value obtained for the uncorrected formation energy is 0.4 kJ/mol of atoms. The value obtained for the volume is 122.2 Å³/cell.

The structure belongs to space group P4/mmm (No. 123); the cell edges are 4.171, 4.171 and 7.025 Å and the angles 90.00°, 90.00° and 90.00°. The distinct sites, in fractional coordinates, are K at (0.000, 0.000, 0.000), Sb at (0.500, 0.500, 0.306) and Se at (0.000, 0.000, 0.500).

---

(2)
The following is a PBE calculation of a relaxed MnV2HPt crystal, from the Alexandria database.

The energy comes out at -7.660 eV/atom. The value obtained for the density of states at the Fermi level is 0.937 states/eV/atom. The value obtained for the volume is 55.4 Å³/cell.

The structure belongs to space group P4/mmm (No. 123); the cell edges are 3.823, 3.823 and 3.791 Å and the angles 90.00°, 90.00° and 90.00°. The distinct sites, in fractional coordinates, are Mn at (0.000, 0.000, 0.000), V at (0.000, 0.500, 0.500), H at (0.000, 0.000, 0.500) and Pt at (0.500, 0.500, 0.000).

---

(3)
The following is a PBE calculation of a relaxed TcSb2IBr crystal, from the Alexandria database.

The energy comes out at -4.132 eV/atom. The value obtained for the density of states at the Fermi level is 0.820 states/eV/atom. The energy above the most stable polymorph in this dataset comes out at 0.000 eV/atom. The value obtained for the uncorrected formation energy is 22.6 kJ/mol of atoms. The value obtained for the volume is 141.9 Å³/cell.

The structure belongs to space group P4/mmm (No. 123); the cell edges are 5.187, 5.187 and 5.274 Å and the angles 90.00°, 90.00° and 90.00°. The distinct sites, in fractional coordinates, are Tc at (0.000, 0.000, 0.000), Sb at (0.000, 0.500, 0.000), I at (0.500, 0.500, 0.500) and Br at (0.000, 0.000, 0.500).

---

(4)
The following is a PBE calculation of a relaxed Mg4CdAu2 crystal, from the Alexandria database.

The energy comes out at -2.301 eV/atom. The value obtained for the density of states at the Fermi level is 0.528 states/eV/atom. The energy above the most stable polymorph in this dataset comes out at 0.095 eV/atom. For the energy relative to the elements, the calculation gives -0.3232 eV per atom. The value obtained for the volume is 489.6 Å³/cell.

The structure belongs to space group R-3m (No. 166, hexagonal axes); the cell edges are 4.4822, 4.4822 and 28.1428 Å and the angles 90.00°, 90.00° and 120.00°. The distinct sites, in fractional coordinates, are Mg at (0.0000, 0.0000, 0.1039), Mg at (0.0000, 0.0000, 0.3014), Cd at (0.0000, 0.0000, 0.5000) and Au at (0.0000, 0.0000, 0.4003).

---

(5)
The following is a PBE calculation of a relaxed CoTcOs2 crystal, from the Alexandria database.

The energy comes out at -9.825 eV/atom. The value obtained for the density of states at the Fermi level is 1.223 states/eV/atom. The energy above the most stable polymorph in this dataset comes out at 0.057 eV/atom. For the energy relative to the elements, the calculation gives 0.1577 eV per atom. The value obtained for the volume is 108.5 Å³/cell.

The structure belongs to space group Cmmm (No. 65); the cell edges are 5.350, 7.521 and 2.696 Å and the angles 90.00°, 90.00° and 90.00°. The distinct sites, in fractional coordinates, are Co at (0.000, 0.000, 0.000), Tc at (0.000, 0.500, 0.000) and Os at (0.250, 0.250, 0.500).

---

(6)
The following is a PBE calculation of a relaxed Na14SrCa crystal, from the Alexandria database.

The energy comes out at -1.349 eV/atom. The value obtained for the density of states at the Fermi level is 0.631 states/eV/atom. For the energy relative to the elements, the calculation gives 0.0354 eV per atom. The value obtained for the volume is 1235.5 Å³/cell.

The structure belongs to space group Cmmm (No. 65); the cell edges are 10.845, 10.882 and 10.469 Å and the angles 90.00°, 90.00° and 90.00°. The distinct sites, in fractional coordinates, are Na at (0.000, 0.000, 0.000), Na at (0.000, 0.245, 0.238), Na at (0.000, 0.500, 0.000), Na at (0.246, 0.000, 0.238), Na at (0.250, 0.250, 0.000), Na at (0.250, 0.250, 0.500), Sr at (0.000, 0.500, 0.500) and Ca at (0.000, 0.000, 0.500).

---

(7)
The following is a PBE calculation of a relaxed CrAg2Mo crystal, from the Alexandria database.

The energy comes out at -5.923 eV/atom. The value obtained for the density of states at the Fermi level is 0.860 states/eV/atom. The energy above the most stable polymorph in this dataset comes out at 0.278 eV/atom. For the energy relative to the elements, the calculation gives 0.6160 eV per atom. The value obtained for the volume is 131.6 Å³/cell.

The structure belongs to space group I-4m2 (No. 119); the cell edges are 4.066, 4.066 and 7.962 Å and the angles 90.00°, 90.00° and 90.00°. The distinct sites, in fractional coordinates, are Cr at (0.000, 0.000, 0.000), Ag at (0.000, 0.000, 0.500), Ag at (0.000, 0.500, 0.250) and Mo at (0.000, 0.500, 0.750).

---

(8)
The following is a PBE calculation of a relaxed ReHgBr5 crystal, from the Alexandria database.

The energy comes out at -3.226 eV/atom. The value obtained for the density of states at the Fermi level is 0.248 states/eV/atom. The value obtained for the uncorrected formation energy is -20.2 kJ/mol of atoms. The value obtained for the volume is 1102.4 Å³/cell.

The structure belongs to space group C2/c (No. 15); the cell edges are 14.203, 15.151 and 5.263 Å and the angles 90.00°, 103.23° and 90.00°. The distinct sites, in fractional coordinates, are Re at (0.000, 0.000, 0.000), Hg at (0.000, 0.385, 0.250), Br at (0.000, 0.147, 0.750), Br at (0.133, 0.386, 0.028) and Br at (0.139, 0.074, 0.336).